Compound: K5CoO4
Source: Alexandria via LeMat-Bulk
Functional: PBE+U
Structure: optimized geometry

a b c (Å): 4.5026 8.1542 7.0485
angles (deg): 95.52 108.63 90.00
Closest atoms and distances in Å follow each position.
Atoms (fractional coordinates):
K1 0.1137 0.3060 0.2274  4 O 2.58-2.89
K2 0.1721 0.8771 0.3441  1 O 2.40
K3 0.8279 0.1229 0.6559  1 O 2.40
K4 0.5000 0.5000 0.0000  4 O 2.60
K5 0.8863 0.6940 0.7726  4 O 2.58-2.89
Co1 0.5000 0.0000 0.0000  2 O 1.74
O1 0.6242 0.0866 0.2483  1 Co 1.74
O2 0.9226 0.3889 0.8452  4 K 2.40-2.60, 1 O 2.61
O3 0.3758 0.9134 0.7517  1 Co 1.74
O4 0.0774 0.6111 0.1548  4 K 2.40-2.60, 1 O 2.61

Computed properties:
Magnetic moment ... 0.199 μB per atom
E ... -4.03 eV/atom
Space group ... C2/m (12)
Distance to the lowest polymorph of the same formula ... 160 meV per atom